This record from the Alexandria database describes a geometry-optimized KHgAu2 structure. The functional is PBE.

Lattice parameters (Å, degrees): 3.727 3.727 7.352 90.00 90.00 90.00
Fractional coordinates of all 4 atoms:
K 0.000 0.000 0.000
Hg 0.000 0.000 0.500
Au 0.500 0.500 0.304
Au 0.500 0.500 0.696

Properties
Total magnetic moment, Bohr magnetons per cell: 0.00
DFT formation energy, eV/atom: -0.03
E, eV/atom: -2.019
Symmetry: P4/mmm (123)

This record from the Alexandria database describes a geometry-optimized BIr structure. The functional is PBE.

Lattice parameters (Å, degrees): 5.674 5.674 5.674 151.51 60.84 127.47
Fractional coordinates of all 6 atoms:
B 0.000 0.000 0.000
B 0.382 0.530 0.852
B 0.678 0.530 0.148
Ir 0.014 0.355 0.658
Ir 0.349 0.849 0.500
Ir 0.697 0.355 0.342

Properties
Total magnetic moment, Bohr magnetons per cell: 0.00
DFT formation energy, eV/atom: -0.07
E, eV/atom: -7.843
Symmetry: Imm2 (44)

This record from the Alexandria database describes a geometry-optimized CdGa2NiHg structure. The functional is PBE.

Lattice parameters (Å, degrees): 4.590 4.590 5.147 90.00 90.00 90.00
Fractional coordinates of all 5 atoms:
Cd 0.000 0.000 0.000
Ga 0.000 0.500 0.500
Ga 0.500 0.000 0.500
Ni 0.000 0.000 0.500
Hg 0.500 0.500 0.000

Properties
Total magnetic moment, Bohr magnetons per cell: 0.00
DFT formation energy, eV/atom: -0.06
E, eV/atom: -2.671
Symmetry: P4/mmm (123)

This record from the Alexandria database describes a geometry-optimized CoMo2Ir structure. The functional is PBE.

Lattice parameters (Å, degrees): 9.079 9.079 9.079 17.32 17.32 17.32
Fractional coordinates of all 4 atoms:
Co 0.000 0.000 0.000
Mo 0.504 0.504 0.504
Mo 0.744 0.744 0.744
Ir 0.253 0.253 0.253

Properties
Total magnetic moment, Bohr magnetons per cell: 0.78
DFT formation energy, eV/atom: 0.13
E, eV/atom: -9.276
Symmetry: R3m (160)